This record from Alexandria via LeMat-Bulk describes a relaxed structure of Al2ZnAs2. The functional is GGA-PBEsol.

Computed properties:
The volume is 106.5 Å³ per cell. Its crystal system is tetragonal. The calculation puts the total energy at -3.95 eV per atom. As for the energy relative to the elements: 0.041 eV/atom.

Unit cell a=7.095 b=7.095 c=7.095 alpha=146.83 beta=146.83 gamma=47.61
Sites, in units of the cell vectors:
Al 0.250 0.750 0.500
Al 0.750 0.250 0.500
Zn 0.000 0.000 0.000
As 0.369 0.369 0.000
As 0.631 0.631 0.000